(1)
The following is a DFT calculation (GGA-PBE) of a geometry-optimized Gd2Ga4PdPt structure.

Values from the calculation:
Total energy, eV per cell: -79.10

a = 6.7098 Å, b = 4.4077 Å, c = 10.2406 Å
α = 90.00°, β = 90.00°, γ = 90.00°
Last column: nearest neighbours and their distance in Å.
Space group Amm2 (No. 38)
Asymmetric unit:
Gd  0.0000  0.0000  0.0000 [2 per cell]  3 Pt 2.96-3.09, 6 Ga 3.04-3.20
Gd  0.5000  0.0000  0.1697 [2 per cell]  3 Pd 2.95-3.09, 6 Ga 3.04-3.21
Ga  0.1970  0.0000  0.7157 [4 per cell]  2 Ga 2.64-2.76, 1 Pd 2.65, 2 Pt 2.68
Ga  0.3045  0.0000  0.4554 [4 per cell]  2 Ga 2.62-2.76, 1 Pt 2.66, 2 Pd 2.67
Pd  0.5000  0.0000  0.8813 [2 per cell]  6 Ga 2.65-2.67, 1 Gd 2.95
Pt  0.0000  0.0000  0.2887 [2 per cell]  6 Ga 2.66-2.68, 1 Gd 2.96

***

(2)
The following is a DFT calculation (GGA-PBE) of a geometry-optimized GdGaSiPd2 structure.

Values from the calculation:
Total energy, eV per cell: -55.81

a = 4.1897 Å, b = 4.1897 Å, c = 10.3485 Å
α = 90.00°, β = 90.00°, γ = 90.00°
Last column: nearest neighbours and their distance in Å.
Space group P4/nmm (No. 129, origin choice 2)
Asymmetric unit:
Gd  0.2500  0.2500  0.2471 [2 per cell]  8 Pd 3.17-3.31, 4 Si 3.21, 4 Ga 3.35
Ga  0.2500  0.7500  0.5000 [2 per cell]  4 Pd 2.57
Si  0.2500  0.2500  0.8719 [2 per cell]  5 Pd 2.36-2.48
Pd  0.2500  0.2500  0.6439 [2 per cell]  1 Si 2.36, 4 Ga 2.57
Pd  0.2500  0.7500  0.0000 [2 per cell]  4 Si 2.48

***

(3)
The following is a DFT calculation (GGA-PBE) of a geometry-optimized GdGaSiPd structure.

Values from the calculation:
Total energy, eV per cell: -79.26

a = 3.9159 Å, b = 18.0957 Å, c = 4.8318 Å
α = 90.00°, β = 90.00°, γ = 90.00°
Last column: nearest neighbours and their distance in Å.
Space group Cmm2 (No. 35)
Asymmetric unit:
Gd  0.0000  0.1748  0.0000 [4 per cell]  2 Pd 2.88, 2 Ga 3.01, 5 Si 3.13-3.20
Ga  0.0000  0.4320  0.2548 [4 per cell]  2 Pd 2.39-2.46, 1 Ga 2.46
Si  0.0000  0.2925  0.5107 [4 per cell]  2 Si 2.49, 1 Pd 2.58
Pd  0.0000  0.4206  0.7467 [4 per cell]  2 Ga 2.39-2.46, 1 Si 2.58